VASP calculation (PBE-GGA) on crystalline Dy2ErPb3 at its relaxed geometry.

a = 9.0258 Å, b = 9.0258 Å, c = 6.3884 Å
α = 100.14°, β = 100.14°, γ = 41.45°
Last column: nearest neighbours and their distance in Å.
Positions (direct):
Dy 0.0412 0.2922 0.0845  6 Pb 3.19-3.56, 1 Er 3.57, 1 Dy 3.57
Dy 0.2922 0.0412 0.5845  6 Pb 3.19-3.56, 1 Er 3.57, 1 Dy 3.57
Dy 0.7078 0.9588 0.4155  6 Pb 3.19-3.56, 1 Er 3.57, 1 Dy 3.57
Dy 0.9588 0.7078 0.9155  6 Pb 3.19-3.56, 1 Er 3.57, 1 Dy 3.57
Er 0.3759 0.6241 0.7500  6 Pb 3.18-3.56
Er 0.6241 0.3759 0.2500  6 Pb 3.18-3.56
Pb 0.1239 0.8761 0.2500  2 Er 3.19-3.20, 4 Dy 3.20-3.56, 4 Pb 3.56
Pb 0.2091 0.4588 0.4172  2 Er 3.18-3.56, 4 Dy 3.19-3.56, 1 Pb 3.56
Pb 0.4588 0.2091 0.9172  2 Er 3.18-3.56, 4 Dy 3.19-3.56, 1 Pb 3.56
Pb 0.5412 0.7909 0.0828  2 Er 3.18-3.56, 4 Dy 3.19-3.56, 1 Pb 3.56
Pb 0.7909 0.5412 0.5828  2 Er 3.18-3.56, 4 Dy 3.19-3.56, 1 Pb 3.56
Pb 0.8761 0.1239 0.7500  2 Er 3.19-3.20, 4 Dy 3.20-3.56, 4 Pb 3.56

Computed properties:
Crystal system: monoclinic
E above lowest polymorph in kcal/mol of atoms: 0.000
Space group: C2/c
E in eV/atom: -4.637
Formation energy in eV/f.u.: -2.93